Entry 1:
Compound: Pm6Y3Ho2Tm
Source: Alexandria via LeMat-Bulk
Functional: PBE
Structure: relaxed

Geometry as POSCAR:
```
Pm6Y3Ho2Tm
1.0
-1.807 -5.913 0.858
4.440 2.464 3.631
-9.006 4.721 6.029
Y Pm Ho Tm
3 6 2 1
Direct
0.500 0.500 0.500 Y
0.833 0.167 0.500 Y
0.167 0.833 0.500 Y
0.917 0.584 0.752 Pm
0.250 0.250 0.752 Pm
0.083 0.416 0.248 Pm
0.750 0.750 0.248 Pm
0.584 0.917 0.752 Pm
0.416 0.083 0.248 Pm
0.667 0.333 0.000 Ho
0.333 0.667 0.000 Ho
0.000 0.000 0.000 Tm
```

DFT formation energy in eV per atom: 0.01

Entry 2:
Compound: PmY3Ho6Tm2
Source: Alexandria via LeMat-Bulk
Functional: PBE
Structure: relaxed

Geometry as POSCAR:
```
PmY3Ho6Tm2
1.0
6.127 0.002 0.008
-3.060 5.308 0.008
-1.033 -1.788 11.555
Y Ho Pm Tm
3 6 1 2
Direct
0.167 0.833 0.500 Y
0.833 0.167 0.500 Y
0.500 0.500 0.500 Y
0.582 0.916 0.751 Ho
0.418 0.084 0.249 Ho
0.750 0.750 0.249 Ho
0.250 0.250 0.751 Ho
0.084 0.418 0.249 Ho
0.916 0.582 0.751 Ho
0.000 0.000 0.000 Pm
0.667 0.333 0.000 Tm
0.333 0.667 0.000 Tm
```

DFT formation energy in eV per atom: 0.02

Entry 3:
Compound: PmYHo3Tm
Source: Alexandria via LeMat-Bulk
Functional: PBE
Structure: relaxed

Geometry as POSCAR:
```
PmYHo3Tm
1.0
5.705 0.000 0.000
-2.852 5.843 0.000
0.000 0.000 11.453
Ho Tm Pm Y
6 2 2 2
Direct
0.861 0.722 0.250 Ho
0.673 0.347 0.029 Ho
0.673 0.347 0.471 Ho
0.139 0.278 0.750 Ho
0.327 0.653 0.971 Ho
0.327 0.653 0.529 Ho
0.000 0.000 0.000 Tm
0.000 0.000 0.500 Tm
0.525 0.051 0.750 Pm
0.475 0.949 0.250 Pm
0.826 0.653 0.750 Y
0.174 0.347 0.250 Y
```

DFT formation energy in eV per atom: 0.12

Question: Which of these has the highest DFT formation energy?
Answer: PmYHo3Tm